# TlTe2OsI

A relaxed TlTe2OsI crystal (PBE-GGA, the Alexandria database).

Computed properties:
formation energy without anion corrections: 379 meV/atom
total energy: -3.9064 eV per atom
excess energy over the best structure of this formula in the dataset: 0.0 meV per atom

Geometry as CIF:
```
data_TlTe2OsI
_space_group_name_H-M_alt 'P 4/m m m'
_space_group_IT_number 123
_space_group_name_Hall '-P 4 2'
_cell_length_a 5.2195
_cell_length_b 5.2195
_cell_length_c 5.9192
_cell_angle_alpha 90.00
_cell_angle_beta 90.00
_cell_angle_gamma 90.00
loop_
_atom_site_label
_atom_site_type_symbol
_atom_site_fract_x
_atom_site_fract_y
_atom_site_fract_z
Tl1 Tl 0.0000 0.0000 0.0000
Te1 Te 0.0000 0.5000 0.5000
Os1 Os 0.5000 0.5000 0.5000
I1 I 0.5000 0.5000 0.0000
```